CaMg14CrO16: optimized geometry, PBE+U.

The structure in CIF format:
```
data_CaMg14CrO16
_chemical_formula_sum 'Ca1 Mg14 Cr1 O16'
_cell_length_a 4.327
_cell_length_b 8.570
_cell_length_c 8.696
_cell_angle_alpha 90.00
_cell_angle_beta 90.00
_cell_angle_gamma 90.00
_space_group_name_H-M_alt 'P m m m'
_space_group_IT_number 47
loop_
_space_group_symop_operation_xyz
'x,y,z'
'-x,-y,-z'
'-x,-y,z'
'x,y,-z'
'x,-y,-z'
'-x,y,z'
'-x,y,-z'
'x,-y,z'
loop_
_atom_site_label
_atom_site_type_symbol
_atom_site_fract_x
_atom_site_fract_y
_atom_site_fract_z
Ca1 Ca 0.000 0.000 0.000
Mg1 Mg 0.000 0.000 0.500
Mg2 Mg 0.000 0.254 0.256
Mg3 Mg 0.000 0.500 0.500
Mg4 Mg 0.500 0.000 0.257
Mg5 Mg 0.500 0.251 0.500
Mg6 Mg 0.500 0.255 0.000
Mg7 Mg 0.500 0.500 0.254
Cr1 Cr 0.000 0.500 0.000
O1 O 0.000 0.000 0.263
O2 O 0.000 0.250 0.500
O3 O 0.000 0.262 0.000
O4 O 0.000 0.500 0.265
O5 O 0.500 0.000 0.000
O6 O 0.500 0.000 0.500
O7 O 0.500 0.250 0.250
O8 O 0.500 0.500 0.000
O9 O 0.500 0.500 0.500
```

Values from the calculation:
For the raw total energy, the calculation gives -6.08 eV/atom. The calculation puts the spin magnetization at 4.0 μB per formula unit.